Material: NpNiOs
Method: DFT, PBE
State: relaxed

Cell lengths 3.071, 3.071, 5.609 Å; angles 105.89, 105.89, 90.00 degrees
Fractional positions:
Np  0.328  0.328  0.656
Ni  0.015  0.015  0.030
Os  0.657  0.657  0.314

Calculated formation energy ... 0.31 eV/atom
Offset from the most stable computed form ... 0.047 eV per atom
Space group ... No. 107
DOS at the Fermi energy ... 6.061 states/eV per cell

Material: NpNiOs
Method: DFT, PBE
State: relaxed

Cell lengths 2.536, 4.618, 4.618 Å; angles 120.00, 90.00, 90.00 degrees
Fractional positions:
Np  0.334  0.667  0.333
Ni  0.833  0.333  0.667
Os  0.833  0.000  0.000

Calculated formation energy ... 0.26 eV/atom
Offset from the most stable computed form ... 0.000 eV per atom
Space group ... No. 187
DOS at the Fermi energy ... 3.933 states/eV per cell

Material: NpNiOs2
Method: DFT, PBE
State: relaxed

Cell lengths 3.816, 4.019, 4.019 Å; angles 90.00, 90.00, 90.00 degrees
Fractional positions:
Np  0.500  0.500  0.500
Ni  0.500  0.000  0.000
Os  0.000  0.000  0.500
Os  0.000  0.500  0.000

Calculated formation energy ... 0.03 eV/atom
Space group ... No. 123
DOS at the Fermi energy ... 5.896 states/eV per cell

Material: NpNi4Os
Method: DFT, PBE
State: relaxed

Cell lengths 4.838, 4.838, 4.838 Å; angles 60.00, 60.00, 60.00 degrees
Fractional positions:
Np  0.000  0.000  0.000
Ni  0.624  0.624  0.127
Ni  0.624  0.127  0.624
Ni  0.624  0.624  0.624
Ni  0.127  0.624  0.624
Os  0.250  0.250  0.250

Calculated formation energy ... 0.00 eV/atom
Space group ... No. 216
DOS at the Fermi energy ... 9.587 states/eV per cell